[1]
## Tb2NdHo3Er6 (GGA-PBE)

Data for a geometry-optimized Tb2NdHo3Er6 structure.

Geometry as POSCAR:
```
Tb2NdHo3Er6
1.0
6.118 0.002 0.014
-3.056 5.300 0.014
-1.042 -1.804 11.506
Tb Er Nd Ho
2 6 1 3
direct
0.667 0.333 0.000 Tb
0.333 0.667 0.000 Tb
0.581 0.915 0.748 Er
0.085 0.419 0.252 Er
0.419 0.085 0.252 Er
0.751 0.751 0.252 Er
0.249 0.249 0.748 Er
0.915 0.581 0.748 Er
0.000 0.000 0.000 Nd
0.833 0.167 0.500 Ho
0.167 0.833 0.500 Ho
0.500 0.500 0.500 Ho
```

## Properties
As for the density of states at the Fermi level: 15.86 states/eV/f.u. The crystal system is monoclinic. Its space group is C2/m.



[2]
## TbNd4HoEr2 (GGA-PBE)

Data for a geometry-optimized TbNd4HoEr2 structure.

Geometry as POSCAR:
```
TbNd4HoEr2
1.0
3.616 0.000 0.000
0.000 6.247 0.079
0.000 1.954 11.683
Tb Nd Er Ho
1 4 2 1
direct
0.500 0.500 0.000 Tb
0.500 0.250 0.750 Nd
0.000 0.249 0.251 Nd
0.000 0.751 0.749 Nd
0.500 0.750 0.250 Nd
0.000 0.000 0.000 Er
0.500 0.000 0.500 Er
0.000 0.500 0.500 Ho
```

## Properties
As for the density of states at the Fermi level: 10.11 states/eV/f.u. The crystal system is monoclinic. Its space group is P2/m.



[3]
## TbNdHoEr2 (GGA-PBE)

Data for a geometry-optimized TbNdHoEr2 structure.

Geometry as POSCAR:
```
TbNdHoEr2
1.0
-2.182 -5.567 -3.974
2.304 -5.254 6.094
-6.371 3.021 -0.734
Ho Tb Er Nd
2 2 4 2
direct
0.250 0.278 0.556 Ho
0.750 0.722 0.444 Ho
0.250 0.999 0.998 Tb
0.750 0.001 0.002 Tb
0.500 0.311 0.000 Er
0.000 0.689 0.000 Er
0.500 0.689 0.000 Er
0.000 0.311 0.000 Er
0.750 0.272 0.544 Nd
0.250 0.728 0.456 Nd
```

## Properties
As for the density of states at the Fermi level: 7.18 states/eV/f.u. The crystal system is orthorhombic. Its space group is Cmcm.



[4]
## TbNdHo2Er (GGA-PBE)

Data for a geometry-optimized TbNdHo2Er structure.

Geometry as POSCAR:
```
TbNdHo2Er
1.0
-1.707 4.981 -4.892
-1.465 -6.031 -5.629
-4.737 2.784 4.487
Er Nd Ho Tb
2 2 4 2
direct
0.750 0.723 0.446 Er
0.250 0.277 0.554 Er
0.250 0.727 0.454 Nd
0.750 0.273 0.546 Nd
0.500 0.311 0.000 Ho
0.500 0.689 0.000 Ho
0.000 0.689 0.000 Ho
0.000 0.311 0.000 Ho
0.750 0.003 0.005 Tb
0.250 0.997 0.995 Tb
```

## Properties
As for the density of states at the Fermi level: 7.40 states/eV/f.u. The crystal system is orthorhombic. Its space group is Cmcm.



[5]
## Tb2Nd3HoEr6 (GGA-PBE)

Data for a geometry-optimized Tb2Nd3HoEr6 structure.

Geometry as POSCAR:
```
Tb2Nd3HoEr6
1.0
6.174 0.000 0.000
-3.085 5.348 0.000
-1.027 -1.778 11.558
Er Ho Nd Tb
6 1 3 2
direct
0.584 0.918 0.753 Er
0.416 0.082 0.247 Er
0.749 0.749 0.247 Er
0.918 0.584 0.753 Er
0.251 0.251 0.753 Er
0.082 0.416 0.247 Er
0.000 0.000 0.000 Ho
0.500 0.500 0.500 Nd
0.833 0.167 0.500 Nd
0.167 0.833 0.500 Nd
0.333 0.667 0.000 Tb
0.667 0.333 0.000 Tb
```

## Properties
As for the density of states at the Fermi level: 15.14 states/eV/f.u. The crystal system is monoclinic. Its space group is C2/m.



[6]
## Tb2Nd4HoEr (GGA-PBE)

Data for a geometry-optimized Tb2Nd4HoEr structure.

Geometry as POSCAR:
```
Tb2Nd4HoEr
1.0
5.146 0.000 0.000
0.000 5.017 1.021
0.000 3.014 10.900
Nd Ho Tb Er
4 1 2 1
direct
0.000 0.249 0.251 Nd
0.500 0.250 0.750 Nd
0.500 0.750 0.250 Nd
0.000 0.751 0.749 Nd
0.500 0.500 0.000 Ho
0.500 0.000 0.500 Tb
0.000 0.000 0.000 Tb
0.000 0.500 0.500 Er
```

## Properties
As for the density of states at the Fermi level: 10.59 states/eV/f.u. The crystal system is monoclinic. Its space group is P2/m.



[7]
## TbNd2Ho4Er (GGA-PBE)

Data for a geometry-optimized TbNd2Ho4Er structure.

Geometry as POSCAR:
```
TbNd2Ho4Er
1.0
-3.960 -8.631 0.370
6.557 -3.023 6.178
-5.358 10.499 -0.436
Ho Tb Er Nd
8 2 2 4
direct
0.753 0.748 0.998 Ho
0.247 0.252 0.002 Ho
0.251 0.746 0.498 Ho
0.246 0.751 0.998 Ho
0.248 0.253 0.498 Ho
0.749 0.254 0.502 Ho
0.754 0.249 0.002 Ho
0.752 0.747 0.502 Ho
0.000 0.000 0.000 Tb
0.500 0.500 0.500 Tb
0.000 0.500 0.500 Er
0.000 0.500 0.000 Er
0.500 0.000 0.000 Nd
0.000 0.000 0.500 Nd
0.500 0.000 0.500 Nd
0.500 0.500 0.000 Nd
```

## Properties
As for the density of states at the Fermi level: 17.77 states/eV/f.u. The crystal system is orthorhombic. Its space group is Imma.



[8]
## Tb4Nd2Ho2Er (GGA-PBE)

Data for a geometry-optimized Tb4Nd2Ho2Er structure.

Geometry as POSCAR:
```
Tb4Nd2Ho2Er
1.0
6.287 2.469 0.833
1.455 9.491 2.210
-3.309 -4.026 4.166
Ho Nd Tb Er
2 2 4 1
direct
0.180 0.554 0.961 Ho
0.820 0.446 0.039 Ho
0.734 0.342 0.400 Nd
0.266 0.658 0.600 Nd
0.260 0.117 0.806 Tb
0.387 0.234 0.496 Tb
0.613 0.766 0.504 Tb
0.740 0.883 0.194 Tb
0.000 0.000 0.000 Er
```

## Properties
As for the density of states at the Fermi level: 14.23 states/eV/f.u. The crystal system is triclinic. Its space group is P-1.



[9]
## Tb6Nd2HoEr3 (GGA-PBE)

Data for a geometry-optimized Tb6Nd2HoEr3 structure.

Geometry as POSCAR:
```
Tb6Nd2HoEr3
1.0
6.171 0.001 0.008
-3.083 5.345 0.008
-1.040 -1.801 11.628
Tb Nd Er Ho
6 2 3 1
direct
0.752 0.752 0.254 Tb
0.248 0.248 0.746 Tb
0.085 0.417 0.253 Tb
0.417 0.085 0.253 Tb
0.915 0.583 0.747 Tb
0.583 0.915 0.747 Tb
0.667 0.333 0.000 Nd
0.333 0.667 0.000 Nd
0.834 0.166 0.500 Er
0.166 0.834 0.500 Er
0.500 0.500 0.500 Er
0.000 0.000 0.000 Ho
```

## Properties
As for the density of states at the Fermi level: 15.49 states/eV/f.u. The crystal system is monoclinic. Its space group is C2/m.



[10]
## Tb2Nd6HoEr (GGA-PBE)

Data for a geometry-optimized Tb2Nd6HoEr structure.

Geometry as POSCAR:
```
Tb2Nd6HoEr
1.0
9.208 -2.042 -2.119
0.809 8.690 -2.052
0.809 -2.372 8.608
Nd Tb Er Ho
12 4 2 2
direct
0.446 0.238 0.882 Nd
0.689 0.011 0.567 Nd
0.946 0.882 0.238 Nd
0.189 0.567 0.011 Nd
0.618 0.492 0.708 Nd
0.882 0.292 0.508 Nd
0.054 0.118 0.762 Nd
0.311 0.989 0.433 Nd
0.118 0.708 0.492 Nd
0.382 0.508 0.292 Nd
0.554 0.762 0.118 Nd
0.811 0.433 0.989 Nd
0.045 0.297 0.199 Tb
0.455 0.801 0.703 Tb
0.545 0.199 0.297 Tb
0.955 0.703 0.801 Tb
0.250 0.973 0.027 Er
0.750 0.027 0.973 Er
0.750 0.589 0.411 Ho
0.250 0.411 0.589 Ho
```

## Properties
As for the density of states at the Fermi level: 14.12 states/eV/f.u. The crystal system is monoclinic. Its space group is C2/c.



[11]
## Tb6Nd2Ho3Er (GGA-PBE)

Data for a geometry-optimized Tb6Nd2Ho3Er structure.

Geometry as POSCAR:
```
Tb6Nd2Ho3Er
1.0
6.174 0.001 0.010
-3.085 5.348 0.010
-1.042 -1.805 11.640
Er Tb Nd Ho
1 6 2 3
direct
0.000 0.000 0.000 Er
0.085 0.417 0.253 Tb
0.583 0.915 0.747 Tb
0.248 0.248 0.747 Tb
0.417 0.085 0.253 Tb
0.752 0.752 0.253 Tb
0.915 0.583 0.747 Tb
0.334 0.666 0.000 Nd
0.666 0.334 0.000 Nd
0.834 0.166 0.500 Ho
0.166 0.834 0.500 Ho
0.500 0.500 0.500 Ho
```

## Properties
As for the density of states at the Fermi level: 15.30 states/eV/f.u. The crystal system is monoclinic. Its space group is C2/m.



[12]
## Tb6NdHo3Er2 (GGA-PBE)

Data for a geometry-optimized Tb6NdHo3Er2 structure.

Geometry as POSCAR:
```
Tb6NdHo3Er2
1.0
-1.724 -2.269 5.447
5.808 -0.662 -1.902
1.453 11.015 3.897
Er Tb Ho Nd
2 6 3 1
direct
0.667 0.333 0.000 Er
0.333 0.667 0.000 Er
0.084 0.418 0.251 Tb
0.916 0.582 0.749 Tb
0.750 0.750 0.251 Tb
0.582 0.916 0.749 Tb
0.418 0.084 0.251 Tb
0.250 0.250 0.749 Tb
0.500 0.500 0.500 Ho
0.167 0.833 0.500 Ho
0.833 0.167 0.500 Ho
0.000 0.000 0.000 Nd
```

## Properties
As for the density of states at the Fermi level: 15.26 states/eV/f.u. The crystal system is monoclinic. Its space group is C2/m.



[13]
## TbNdHo6Er2 (GGA-PBE)

Data for a geometry-optimized TbNdHo6Er2 structure.

Geometry as POSCAR:
```
TbNdHo6Er2
1.0
9.041 -1.947 -2.020
0.834 8.479 -1.978
0.834 -2.291 8.400
Ho Nd Er Tb
12 2 4 2
direct
0.682 0.018 0.565 Ho
0.882 0.292 0.511 Ho
0.443 0.248 0.878 Ho
0.382 0.511 0.292 Ho
0.618 0.489 0.708 Ho
0.318 0.982 0.435 Ho
0.182 0.565 0.018 Ho
0.943 0.878 0.248 Ho
0.557 0.752 0.122 Ho
0.118 0.708 0.489 Ho
0.057 0.122 0.752 Ho
0.818 0.435 0.982 Ho
0.750 0.027 0.973 Nd
0.250 0.973 0.027 Nd
0.547 0.198 0.304 Er
0.453 0.802 0.696 Er
0.953 0.696 0.802 Er
0.047 0.304 0.198 Er
0.250 0.410 0.590 Tb
0.750 0.590 0.410 Tb
```

## Properties
As for the density of states at the Fermi level: 14.85 states/eV/f.u. The crystal system is monoclinic. Its space group is C2/c.



[14]
## TbNd2Ho6Er3 (GGA-PBE)

Data for a geometry-optimized TbNd2Ho6Er3 structure.

Geometry as POSCAR:
```
TbNd2Ho6Er3
1.0
-0.489 3.678 -4.899
-4.478 -0.118 4.207
6.915 7.299 6.071
Ho Er Nd Tb
6 3 2 1
direct
0.753 0.753 0.254 Ho
0.085 0.418 0.254 Ho
0.582 0.915 0.746 Ho
0.247 0.247 0.746 Ho
0.915 0.582 0.746 Ho
0.418 0.085 0.254 Ho
0.166 0.834 0.500 Er
0.834 0.166 0.500 Er
0.500 0.500 0.500 Er
0.667 0.333 0.000 Nd
0.333 0.667 0.000 Nd
0.000 0.000 0.000 Tb
```

## Properties
As for the density of states at the Fermi level: 15.86 states/eV/f.u. The crystal system is monoclinic. Its space group is C2/m.



[15]
## Tb2NdHoEr5 (GGA-PBE)

Data for a geometry-optimized Tb2NdHoEr5 structure.

Geometry as POSCAR:
```
Tb2NdHoEr5
1.0
-6.677 2.812 -5.078
-5.788 -2.635 6.151
6.601 6.541 2.650
Er Ho Nd Tb
10 2 2 4
direct
0.573 0.661 0.734 Er
0.427 0.339 0.266 Er
0.661 0.161 0.734 Er
0.000 0.000 0.000 Er
0.073 0.573 0.734 Er
0.161 0.073 0.734 Er
0.839 0.927 0.266 Er
0.339 0.839 0.266 Er
0.500 0.500 0.000 Er
0.927 0.427 0.266 Er
0.250 0.750 0.500 Ho
0.750 0.250 0.500 Ho
0.250 0.250 0.500 Nd
0.750 0.750 0.500 Nd
0.887 0.613 0.000 Tb
0.613 0.113 0.000 Tb
0.387 0.887 0.000 Tb
0.113 0.387 0.000 Tb
```

## Properties
As for the density of states at the Fermi level: 10.92 states/eV/f.u. The crystal system is tetragonal. Its space group is I4/mcm.



[16]
## Tb2NdHo5Er (GGA-PBE)

Data for a geometry-optimized Tb2NdHo5Er structure.

Geometry as POSCAR:
```
Tb2NdHo5Er
1.0
8.900 0.000 0.000
0.000 8.900 0.000
-4.450 -4.450 7.341
Tb Ho Er Nd
4 10 2 2
direct
0.613 0.113 0.000 Tb
0.387 0.887 0.000 Tb
0.113 0.387 0.000 Tb
0.887 0.613 0.000 Tb
0.839 0.927 0.266 Ho
0.661 0.161 0.734 Ho
0.500 0.500 0.000 Ho
0.161 0.073 0.734 Ho
0.573 0.661 0.734 Ho
0.339 0.839 0.266 Ho
0.073 0.573 0.734 Ho
0.427 0.339 0.266 Ho
0.000 0.000 0.000 Ho
0.927 0.427 0.266 Ho
0.250 0.750 0.500 Er
0.750 0.250 0.500 Er
0.750 0.750 0.500 Nd
0.250 0.250 0.500 Nd
```

## Properties
As for the density of states at the Fermi level: 11.31 states/eV/f.u. The crystal system is tetragonal. Its space group is I4/mcm.



[17]
## TbNd2HoEr5 (GGA-PBE)

Data for a geometry-optimized TbNd2HoEr5 structure.

Geometry as POSCAR:
```
TbNd2HoEr5
1.0
-7.650 -3.841 0.774
0.814 0.103 8.556
-0.057 8.838 -4.418
Er Ho Nd Tb
10 2 4 2
direct
0.853 0.928 0.280 Er
0.428 0.353 0.280 Er
0.928 0.428 0.280 Er
0.647 0.147 0.720 Er
0.147 0.072 0.720 Er
0.353 0.853 0.280 Er
0.000 0.000 0.000 Er
0.572 0.647 0.720 Er
0.500 0.500 0.000 Er
0.072 0.572 0.720 Er
0.250 0.750 0.500 Ho
0.750 0.250 0.500 Ho
0.382 0.882 0.000 Nd
0.618 0.118 0.000 Nd
0.882 0.618 0.000 Nd
0.118 0.382 0.000 Nd
0.750 0.750 0.500 Tb
0.250 0.250 0.500 Tb
```

## Properties
As for the density of states at the Fermi level: 10.85 states/eV/f.u. The crystal system is tetragonal. Its space group is I4/mcm.



[18]
## Tb6Nd3Ho2Er (GGA-PBE)

Data for a geometry-optimized Tb6Nd3Ho2Er structure.

Geometry as POSCAR:
```
Tb6Nd3Ho2Er
1.0
6.202 0.000 0.006
-3.100 5.372 0.006
-1.043 -1.806 11.674
Er Ho Tb Nd
1 2 6 3
direct
0.000 0.000 0.000 Er
0.333 0.667 0.000 Ho
0.667 0.333 0.000 Ho
0.415 0.082 0.246 Tb
0.918 0.585 0.754 Tb
0.749 0.749 0.246 Tb
0.251 0.251 0.754 Tb
0.585 0.918 0.754 Tb
0.082 0.415 0.246 Tb
0.167 0.833 0.500 Nd
0.833 0.167 0.500 Nd
0.500 0.500 0.500 Nd
```

## Properties
As for the density of states at the Fermi level: 15.79 states/eV/f.u. The crystal system is monoclinic. Its space group is C2/m.



[19]
## TbNd6Ho2Er (GGA-PBE)

Data for a geometry-optimized TbNd6Ho2Er structure.

Geometry as POSCAR:
```
TbNd6Ho2Er
1.0
9.195 -2.012 -2.088
0.817 8.682 -2.035
0.817 -2.356 8.601
Nd Tb Er Ho
12 2 2 4
direct
0.618 0.490 0.708 Nd
0.054 0.117 0.762 Nd
0.312 0.991 0.436 Nd
0.188 0.564 0.009 Nd
0.446 0.238 0.883 Nd
0.812 0.436 0.991 Nd
0.554 0.762 0.117 Nd
0.688 0.009 0.564 Nd
0.946 0.883 0.238 Nd
0.382 0.510 0.292 Nd
0.882 0.292 0.510 Nd
0.118 0.708 0.490 Nd
0.750 0.028 0.972 Tb
0.250 0.972 0.028 Tb
0.250 0.412 0.588 Er
0.750 0.588 0.412 Er
0.546 0.201 0.299 Ho
0.954 0.701 0.799 Ho
0.454 0.799 0.701 Ho
0.046 0.299 0.201 Ho
```

## Properties
As for the density of states at the Fermi level: 14.33 states/eV/f.u. The crystal system is monoclinic. Its space group is C2/c.



Results for formation enthalpy at 0 K: 0.24 0.12 1.92 1.94 0.23 0.13 3.42 0.77 0.20 1.16 0.19 0.20 1.22 0.24 2.57 2.60 2.45 0.21 1.16 (in eV/f.u., following the order of the records).